Record 1
First-principles (SCAN) data for a crystal of ScTaFe relaxed with PBEsol, as listed in the Alexandria database.

```
3
Lattice="3.025 0.000 0.000 -1.513 2.620 0.000 0.000 0.000 6.291" Properties=species:S:1:pos:R:3 pbc="T T T"
Sc 0.000 0.000 0.000
Ta 0.000 1.747 3.765
Fe 1.513 0.873 2.027
```

Calculated values
**Mass density**: 9.38 g/cm³
**ΔE_f**: 0.270 eV/atom
**Energy**: -98.14 eV/cell
**Total magnetic moment**: 1.7 μB per formula unit
**Symmetry**: P3m1, No. 156

=====

Record 2
First-principles (SCAN) data for a crystal of SiAg2Pt relaxed with PBEsol, as listed in the Alexandria database.

```
4
Lattice="3.489 0.000 0.000 0.000 3.489 0.000 0.000 0.000 5.217" Properties=species:S:1:pos:R:3 pbc="T T T"
Si 0.000 0.000 0.000
Ag 1.744 1.744 1.293
Ag 1.744 1.744 3.924
Pt 0.000 0.000 2.609
```

Calculated values
**Uncorrected formation energy**: 0.1472 eV per atom
**Mass density**: 11.48 g/cm³
**Energy**: -142.35 eV/cell
**Total magnetic moment**: 0.0 μB per formula unit
**Symmetry**: P4/mmm, No. 123

=====

Record 3
First-principles (SCAN) data for a crystal of HfAlTl2 relaxed with PBEsol, as listed in the Alexandria database.

```
4
Lattice="0.000 3.544 3.544 3.544 0.000 3.544 3.544 3.544 0.000" Properties=species:S:1:pos:R:3 pbc="T T T"
Hf 0.000 0.000 0.000
Al 3.544 3.544 3.544
Tl 1.772 1.772 1.772
Tl 5.316 5.316 5.316
```

Calculated values
**Mass density**: 11.45 g/cm³
**ΔE_f**: 0.435 eV/atom
**Energy**: -213.40 eV/cell
**Total magnetic moment**: 0.0 μB per formula unit
**Symmetry**: Fm-3m, No. 225

=====

Record 4
First-principles (SCAN) data for a crystal of Sr2SiBi relaxed with PBEsol, as listed in the Alexandria database.

```
8
Lattice="-4.346 4.346 3.352 4.346 -4.346 3.352 4.346 4.346 -3.352" Properties=species:S:1:pos:R:3 pbc="T T T"
Sr 6.519 1.980 -0.838
Sr 1.980 2.173 0.838
Sr -2.173 2.367 2.514
Sr 2.367 2.173 4.190
Si 0.000 0.000 0.000
Si 0.000 4.346 1.676
Bi 4.346 0.000 1.676
Bi 0.000 0.000 3.352
```

Calculated values
**Uncorrected formation energy**: -0.1913 eV per atom
**Mass density**: 5.41 g/cm³
**Energy**: -267.82 eV/cell
**Total magnetic moment**: 0.0 μB per formula unit
**Symmetry**: I-42d, No. 122

=====

Q: Among the records above, which one has the lowest energy?
A: Sr2SiBi

=====

Q: The highest energy belongs to which entry?
A: ScTaFe

=====

Q: Among the records above, which one has the highest total magnetic moment?
A: ScTaFe